Entry 1:
A geometry-optimized Ce3Ge4Pd structure, computed with GGA-PBE.

Structure (POSCAR):
```
Ce3Ge4Pd
1.0
-2.200 3.063 7.229
2.200 -3.063 7.229
2.200 3.063 -7.229
Ce Ge Pd
3 4 1
direct
0.000 0.000 0.000
0.311 0.811 0.500
0.689 0.189 0.500
0.088 0.377 0.711
0.334 0.623 0.711
0.666 0.377 0.289
0.912 0.623 0.289
0.500 0.500 0.000
```

Output
Total moment, μB/cell: 1.9
N(E_F), states/eV/f.u.: 14.4
Calculated formation energy, eV/atom: -0.63

---

Entry 2:
A geometry-optimized MoRuN3 structure, computed with GGA-PBE.

Structure (POSCAR):
```
MoRuN3
1.0
3.920 0.000 0.000
0.000 3.920 0.000
0.000 0.000 3.920
Mo Ru N
1 1 3
direct
0.000 0.000 0.000
0.500 0.500 0.500
0.000 0.000 0.500
0.000 0.500 0.000
0.500 0.000 0.000
```

Output
Total moment, μB/cell: 2.4
E_form (uncorrected), eV per atom: 1.1957
N(E_F), states/eV/f.u.: 3.0

---

Entry 3:
A geometry-optimized FeCu2Ge2 structure, computed with GGA-PBE.

Structure (POSCAR):
```
FeCu2Ge2
1.0
6.683 0.000 0.000
0.000 6.683 0.000
0.000 0.000 3.081
Fe Cu Ge
2 4 4
direct
0.000 0.000 0.000
0.500 0.500 0.000
0.126 0.374 0.000
0.374 0.874 0.000
0.626 0.126 0.000
0.874 0.626 0.000
0.178 0.678 0.500
0.322 0.178 0.500
0.678 0.822 0.500
0.822 0.322 0.500
```

Output
Total moment, μB/cell: 0.0
N(E_F), states/eV/f.u.: 3.4
Calculated formation energy, eV/atom: 0.42
ΔE to the lowest computed polymorph, meV/atom: 193.9